Density functional theory data (GGA-PBE) for ErIn2Pt after structural relaxation.

Geometry as POSCAR:
```
ErIn2Pt
1.0
4.702 0.000 0.000
0.000 4.301 0.000
0.000 0.000 4.301
In Pt Er
2 1 1
direct
0.000 0.000 0.500 In
0.000 0.500 0.000 In
0.500 0.000 0.000 Pt
0.500 0.500 0.500 Er
```

As for the crystal system: tetragonal. The value obtained for the energy of formation is -565 meV per atom. As for the total energy: -0.3370 Ry per atom. For the calculated volume, the calculation gives 87.0 Å³/cell. For the density of states at the Fermi level, the calculation gives 2.45 states/eV/cell.

---

Density functional theory data (GGA-PBE) for Er4InPt2 after structural relaxation.

Geometry as POSCAR:
```
Er4InPt2
1.0
4.734 0.000 0.000
2.367 4.100 0.000
2.367 1.367 9.494
Er In Pt
4 1 2
direct
0.387 0.387 0.838 Er
0.202 0.202 0.393 Er
0.798 0.798 0.607 Er
0.613 0.613 0.162 Er
0.000 0.000 0.000 In
0.100 0.100 0.700 Pt
0.900 0.900 0.300 Pt
```

As for the crystal system: trigonal. The value obtained for the energy of formation is -795 meV per atom. As for the total energy: -0.4057 Ry per atom. For the calculated volume, the calculation gives 184.2 Å³/cell. For the density of states at the Fermi level, the calculation gives 6.40 states/eV/cell.

---

Density functional theory data (GGA-PBE) for Er3In4Pt4 after structural relaxation.

Geometry as POSCAR:
```
Er3In4Pt4
1.0
3.616 0.000 -0.900
-0.973 6.923 -3.910
0.350 0.570 9.128
Er In Pt
3 4 4
direct
0.106 0.106 0.213 Er
0.894 0.894 0.787 Er
0.000 0.500 0.000 Er
0.334 0.140 0.668 In
0.666 0.472 0.332 In
0.666 0.860 0.332 In
0.334 0.528 0.668 In
0.247 0.747 0.493 Pt
0.753 0.253 0.507 Pt
0.500 0.797 0.000 Pt
0.500 0.203 0.000 Pt
```

As for the crystal system: orthorhombic. The value obtained for the energy of formation is -871 meV per atom. As for the total energy: -0.3901 Ry per atom. For the calculated volume, the calculation gives 239.3 Å³/cell. For the density of states at the Fermi level, the calculation gives 4.66 states/eV/cell.

---

Density functional theory data (GGA-PBE) for Er12InPt6 after structural relaxation.

Geometry as POSCAR:
```
Er12InPt6
1.0
-3.717 4.236 -6.446
-5.961 -2.375 5.668
5.720 5.087 3.836
Er In Pt
12 1 6
direct
0.298 0.118 0.820 Er
0.298 0.479 0.180 Er
0.702 0.521 0.820 Er
0.702 0.882 0.180 Er
0.118 0.820 0.298 Er
0.479 0.180 0.298 Er
0.521 0.820 0.702 Er
0.882 0.180 0.702 Er
0.820 0.298 0.118 Er
0.180 0.298 0.479 Er
0.820 0.702 0.521 Er
0.180 0.702 0.882 Er
0.000 0.000 0.000 In
0.361 0.500 0.861 Pt
0.639 0.500 0.139 Pt
0.500 0.861 0.361 Pt
0.500 0.139 0.639 Pt
0.861 0.361 0.500 Pt
0.139 0.639 0.500 Pt
```

As for the crystal system: cubic. The value obtained for the energy of formation is -873 meV per atom. As for the total energy: -0.4268 Ry per atom. For the calculated volume, the calculation gives 483.2 Å³/cell. For the density of states at the Fermi level, the calculation gives 20.24 states/eV/cell.

---

Density functional theory data (GGA-PBE) for ErIn2Pt2 after structural relaxation.

Geometry as POSCAR:
```
ErIn2Pt2
1.0
4.673 0.000 0.000
0.000 5.389 -0.328
0.000 -2.208 8.714
Er In Pt
2 4 4
direct
0.250 0.810 0.236 Er
0.750 0.190 0.764 Er
0.250 0.790 0.876 In
0.750 0.210 0.124 In
0.250 0.366 0.546 In
0.750 0.634 0.454 In
0.250 0.894 0.593 Pt
0.750 0.106 0.407 Pt
0.250 0.330 0.969 Pt
0.750 0.670 0.031 Pt
```

As for the crystal system: monoclinic. The value obtained for the energy of formation is -775 meV per atom. As for the total energy: -0.3821 Ry per atom. For the calculated volume, the calculation gives 216.1 Å³/cell. For the density of states at the Fermi level, the calculation gives 3.07 states/eV/cell.

---

Density functional theory data (GGA-PBE) for Er3InPt12 after structural relaxation.

Geometry as POSCAR:
```
Er3InPt12
1.0
4.094 0.000 0.000
0.000 4.094 0.000
0.000 0.000 16.300
Er In Pt
3 1 12
direct
0.000 0.000 0.249 Er
0.000 0.000 0.500 Er
0.000 0.000 0.751 Er
0.000 0.000 0.000 In
0.500 0.500 0.000 Pt
0.500 0.500 0.248 Pt
0.500 0.500 0.500 Pt
0.500 0.500 0.752 Pt
0.500 0.000 0.123 Pt
0.500 0.000 0.374 Pt
0.500 0.000 0.626 Pt
0.500 0.000 0.877 Pt
0.000 0.500 0.123 Pt
0.000 0.500 0.374 Pt
0.000 0.500 0.626 Pt
0.000 0.500 0.877 Pt
```

As for the crystal system: tetragonal. The value obtained for the energy of formation is -896 meV per atom. As for the total energy: -0.4743 Ry per atom. For the calculated volume, the calculation gives 273.2 Å³/cell. For the density of states at the Fermi level, the calculation gives 15.50 states/eV/cell.

---

Density functional theory data (GGA-PBE) for ErPuInPt after structural relaxation.

Geometry as POSCAR:
```
ErPuInPt
1.0
5.128 0.000 0.000
2.564 4.441 0.000
2.564 1.480 4.187
Er In Pt Pu
1 1 1 1
direct
0.000 0.000 0.000 Er
0.750 0.750 0.750 In
0.250 0.250 0.250 Pt
0.500 0.500 0.500 Pu
```

As for the crystal system: cubic. The value obtained for the energy of formation is -509 meV per atom. As for the total energy: -0.5459 Ry per atom. For the calculated volume, the calculation gives 95.3 Å³/cell. For the density of states at the Fermi level, the calculation gives 10.20 states/eV/cell.

---

Density functional theory data (GGA-PBE) for ErInPtRh after structural relaxation.

Geometry as POSCAR:
```
ErInPtRh
1.0
-2.263 -4.069 -0.838
2.454 -4.015 -0.486
-0.212 -3.324 3.360
In Rh Pt Er
1 1 1 1
direct
0.000 0.000 0.000 In
0.250 0.250 0.250 Rh
0.750 0.750 0.750 Pt
0.500 0.500 0.500 Er
```

As for the crystal system: cubic. The value obtained for the energy of formation is -841 meV per atom. As for the total energy: -0.4421 Ry per atom. For the calculated volume, the calculation gives 74.9 Å³/cell. For the density of states at the Fermi level, the calculation gives 2.17 states/eV/cell.

---

Density functional theory data (GGA-PBE) for ErInPtRh after structural relaxation.

Geometry as POSCAR:
```
ErInPtRh
1.0
4.459 0.000 0.000
0.000 4.459 0.000
-2.229 -2.229 3.735
Er In Pt Rh
1 1 1 1
direct
0.750 0.250 0.500 Er
0.250 0.750 0.500 In
0.000 0.000 0.000 Pt
0.500 0.500 0.000 Rh
```

As for the crystal system: tetragonal. The value obtained for the energy of formation is -846 meV per atom. As for the total energy: -0.4424 Ry per atom. For the calculated volume, the calculation gives 74.3 Å³/cell. For the density of states at the Fermi level, the calculation gives 1.45 states/eV/cell.

---

Density functional theory data (GGA-PBE) for Er5In2Ru2Pt after structural relaxation.

Geometry as POSCAR:
```
Er5In2Ru2Pt
1.0
3.468 0.000 0.000
0.000 11.635 0.000
0.000 0.000 11.635
Er In Ru Pt
10 4 4 2
direct
0.500 0.198 0.065 Er
0.500 0.802 0.935 Er
0.500 0.065 0.802 Er
0.500 0.698 0.435 Er
0.500 0.935 0.198 Er
0.500 0.302 0.565 Er
0.500 0.565 0.698 Er
0.500 0.435 0.302 Er
0.500 0.500 0.000 Er
0.500 0.000 0.500 Er
0.000 0.680 0.180 In
0.000 0.320 0.820 In
0.000 0.180 0.320 In
0.000 0.820 0.680 In
0.000 0.136 0.636 Ru
0.000 0.864 0.364 Ru
0.000 0.636 0.864 Ru
0.000 0.364 0.136 Ru
0.000 0.000 0.000 Pt
0.000 0.500 0.500 Pt
```

As for the crystal system: tetragonal. The value obtained for the energy of formation is -545 meV per atom. As for the total energy: -0.4287 Ry per atom. For the calculated volume, the calculation gives 469.5 Å³/cell. For the density of states at the Fermi level, the calculation gives 9.90 states/eV/cell.

---

Density functional theory data (GGA-PBE) for Er4InRu2Pt after structural relaxation.

Geometry as POSCAR:
```
Er4InRu2Pt
1.0
4.913 0.000 0.000
2.457 4.255 0.000
2.457 1.418 8.062
Er In Ru Pt
4 1 2 1
direct
0.380 0.380 0.859 Er
0.871 0.871 0.388 Er
0.129 0.129 0.612 Er
0.620 0.620 0.141 Er
0.000 0.000 0.000 In
0.748 0.748 0.755 Ru
0.252 0.252 0.245 Ru
0.500 0.500 0.500 Pt
```

As for the crystal system: trigonal. The value obtained for the energy of formation is -611 meV per atom. As for the total energy: -0.4637 Ry per atom. For the calculated volume, the calculation gives 168.6 Å³/cell. For the density of states at the Fermi level, the calculation gives 4.83 states/eV/cell.

---

Density functional theory data (GGA-PBE) for ErIn2Si2Pt7 after structural relaxation.

Geometry as POSCAR:
```
ErIn2Si2Pt7
1.0
-3.661 -1.575 -0.193
0.733 -1.244 -3.720
3.840 -13.097 3.558
Er In Si Pt
1 2 2 7
direct
0.000 0.000 0.000 Er
0.895 0.895 0.394 In
0.105 0.105 0.606 In
0.591 0.591 0.747 Si
0.409 0.409 0.253 Si
0.500 0.500 0.000 Pt
0.379 0.379 0.419 Pt
0.621 0.621 0.581 Pt
0.943 0.442 0.157 Pt
0.442 0.943 0.157 Pt
0.558 0.057 0.843 Pt
0.057 0.558 0.843 Pt
```

The value obtained for the uncorrected formation energy is -0.721 eV/atom. As for the crystal system: monoclinic. As for the total energy: -0.4399 Ry per atom. For the calculated volume, the calculation gives 222.1 Å³/cell. For the density of states at the Fermi level, the calculation gives 2.93 states/eV/cell.

---

Density functional theory data (GGA-PBE) for Sr2ErIn3Pt4 after structural relaxation.

Geometry as POSCAR:
```
Sr2ErIn3Pt4
1.0
4.647 0.000 0.000
0.000 4.647 0.000
0.000 0.000 11.374
Sr Er In Pt
2 1 3 4
direct
0.500 0.000 0.224 Sr
0.000 0.500 0.776 Sr
0.500 0.500 0.500 Er
0.000 0.000 0.500 In
0.500 0.000 0.877 In
0.000 0.500 0.123 In
0.500 0.500 0.000 Pt
0.000 0.000 0.000 Pt
0.500 0.000 0.640 Pt
0.000 0.500 0.360 Pt
```

As for the crystal system: tetragonal. The value obtained for the energy of formation is -775 meV per atom. As for the total energy: -0.3532 Ry per atom. For the calculated volume, the calculation gives 245.6 Å³/cell. For the density of states at the Fermi level, the calculation gives 6.33 states/eV/cell.

---

Density functional theory data (GGA-PBE) for ErTmInPt after structural relaxation.

Geometry as POSCAR:
```
ErTmInPt
1.0
-3.847 3.243 -0.655
-3.534 0.506 3.606
-0.226 4.258 2.751
Tm In Pt Er
1 1 1 1
direct
0.500 0.500 0.500 Tm
0.250 0.250 0.250 In
0.750 0.750 0.750 Pt
0.000 0.000 0.000 Er
```

As for the crystal system: cubic. The value obtained for the energy of formation is -774 meV per atom. As for the total energy: -0.3842 Ry per atom. For the calculated volume, the calculation gives 92.4 Å³/cell. For the density of states at the Fermi level, the calculation gives 3.61 states/eV/cell.

---

Density functional theory data (GGA-PBE) for Er2Pu2In3 after structural relaxation.

Geometry as POSCAR:
```
Er2Pu2In3
1.0
-2.393 -3.646 1.890
2.578 -2.005 -0.602
3.133 0.662 11.221
Er Pu In
2 2 3
direct
0.573 0.500 0.854 Er
0.427 0.500 0.146 Er
0.713 0.500 0.573 Pu
0.287 0.500 0.427 Pu
0.854 0.000 0.292 In
0.000 0.000 0.000 In
0.146 0.000 0.708 In
```

As for the crystal system: orthorhombic. The value obtained for the energy of formation is -223 meV per atom. As for the total energy: -0.4995 Ry per atom. For the calculated volume, the calculation gives 180.3 Å³/cell. For the density of states at the Fermi level, the calculation gives 12.61 states/eV/cell.

---

Density functional theory data (GGA-PBE) for Er2PuIn9 after structural relaxation.

Geometry as POSCAR:
```
Er2PuIn9
1.0
-0.416 -1.782 4.253
3.259 -3.134 -0.994
9.792 8.720 4.612
Er Pu In
2 1 9
direct
0.000 0.000 0.335 Er
0.000 0.000 0.665 Er
0.000 0.000 0.000 Pu
0.500 0.500 0.000 In
0.500 0.500 0.333 In
0.500 0.500 0.667 In
0.500 0.000 0.167 In
0.500 0.000 0.500 In
0.500 0.000 0.833 In
0.000 0.500 0.167 In
0.000 0.500 0.500 In
0.000 0.500 0.833 In
```

As for the crystal system: tetragonal. The value obtained for the energy of formation is -334 meV per atom. As for the total energy: -0.3192 Ry per atom. For the calculated volume, the calculation gives 297.9 Å³/cell. For the density of states at the Fermi level, the calculation gives 15.07 states/eV/cell.

---

Density functional theory data (GGA-PBE) for Er6PuIn5 after structural relaxation.

Geometry as POSCAR:
```
Er6PuIn5
1.0
-1.157 1.873 -4.791
-5.797 -4.827 -0.488
-5.400 6.394 0.902
Pu In Er
1 5 6
direct
0.000 0.000 0.000 Pu
0.671 0.500 0.659 In
0.347 0.000 0.307 In
0.000 0.500 0.000 In
0.653 0.000 0.693 In
0.329 0.500 0.341 In
0.832 0.757 0.337 Er
0.832 0.243 0.337 Er
0.500 0.265 0.000 Er
0.500 0.735 0.000 Er
0.168 0.757 0.663 Er
0.168 0.243 0.663 Er
```

As for the crystal system: orthorhombic. The value obtained for the energy of formation is -344 meV per atom. As for the total energy: -0.3646 Ry per atom. For the calculated volume, the calculation gives 318.6 Å³/cell. For the density of states at the Fermi level, the calculation gives 17.23 states/eV/cell.

---

Density functional theory data (GGA-PBE) for ErPu2In3 after structural relaxation.

Geometry as POSCAR:
```
ErPu2In3
1.0
-1.167 -2.900 2.045
-0.050 -2.139 -3.062
10.947 -3.034 1.942
Er Pu In
1 2 3
direct
0.500 0.500 0.500 Er
0.500 0.500 0.830 Pu
0.500 0.500 0.170 Pu
0.000 0.000 0.000 In
0.000 0.000 0.658 In
0.000 0.000 0.342 In
```

As for the crystal system: tetragonal. The value obtained for the energy of formation is -206 meV per atom. As for the total energy: -0.5228 Ry per atom. For the calculated volume, the calculation gives 160.8 Å³/cell. For the density of states at the Fermi level, the calculation gives 17.13 states/eV/cell.

---

Density functional theory data (GGA-PBE) for Er3PuIn4 after structural relaxation.

Geometry as POSCAR:
```
Er3PuIn4
1.0
5.487 0.000 0.000
0.000 7.135 0.000
0.000 0.000 10.722
Pu In Er
2 8 6
direct
0.000 0.500 0.000 Pu
0.000 0.500 0.500 Pu
0.500 0.757 0.000 In
0.500 0.757 0.500 In
0.500 0.243 0.000 In
0.500 0.243 0.500 In
0.095 0.756 0.750 In
0.905 0.756 0.250 In
0.905 0.244 0.250 In
0.095 0.244 0.750 In
0.000 0.000 0.000 Er
0.000 0.000 0.500 Er
0.587 0.000 0.750 Er
0.413 0.000 0.250 Er
0.591 0.500 0.750 Er
0.409 0.500 0.250 Er
```

As for the crystal system: orthorhombic. The value obtained for the energy of formation is -352 meV per atom. As for the total energy: -0.3839 Ry per atom. For the calculated volume, the calculation gives 419.8 Å³/cell. For the density of states at the Fermi level, the calculation gives 23.91 states/eV/cell.

---

Density functional theory data (GGA-PBE) for Er12PuIn3 after structural relaxation.

Geometry as POSCAR:
```
Er12PuIn3
1.0
4.772 0.000 0.000
0.000 4.772 0.000
0.000 0.000 19.418
Er Pu In
12 1 3
direct
0.500 0.500 0.000 Er
0.500 0.500 0.251 Er
0.500 0.500 0.500 Er
0.500 0.500 0.749 Er
0.500 0.000 0.123 Er
0.500 0.000 0.375 Er
0.500 0.000 0.625 Er
0.500 0.000 0.877 Er
0.000 0.500 0.123 Er
0.000 0.500 0.375 Er
0.000 0.500 0.625 Er
0.000 0.500 0.877 Er
0.000 0.000 0.000 Pu
0.000 0.000 0.253 In
0.000 0.000 0.500 In
0.000 0.000 0.747 In
```

As for the crystal system: tetragonal. The value obtained for the energy of formation is -21 meV per atom. As for the total energy: -0.3566 Ry per atom. For the calculated volume, the calculation gives 442.2 Å³/cell. For the density of states at the Fermi level, the calculation gives 33.06 states/eV/cell.